Density functional theory data (PBE-GGA) for a geometry-optimized Er6As5Cl structure.

a b c (Å): 7.049 7.049 7.036
angles (deg): 99.59 99.59 119.89
Atoms (fractional coordinates):
1 Er 0.065 0.414 0.741
2 Er 0.237 0.237 0.257
3 Er 0.414 0.065 0.741
4 Er 0.586 0.935 0.259
5 Er 0.763 0.763 0.743
6 Er 0.935 0.586 0.259
7 As 0.000 0.000 0.500
8 As 0.168 0.832 0.000
9 As 0.338 0.662 0.500
10 As 0.662 0.338 0.500
11 As 0.832 0.168 0.000
12 Cl 0.500 0.500 0.000

## Properties
final energy	-5.91	eV/atom
energy relative to the elements, uncorrected	-18.4	eV/f.u.
crystal system	monoclinic

Density functional theory data (PBE-GGA) for a geometry-optimized ErAsCl structure.

a b c (Å): 4.049 5.223 9.814
angles (deg): 88.36 84.56 71.09
Atoms (fractional coordinates):
1 Er 0.239 0.204 0.164
2 Er 0.761 0.796 0.836
3 As 0.253 0.708 0.043
4 As 0.747 0.292 0.957
5 Cl 0.301 0.788 0.657
6 Cl 0.699 0.212 0.343

## Properties
final energy	-5.15	eV/atom
energy relative to the elements, uncorrected	-4.4	eV/f.u.
crystal system	triclinic

Density functional theory data (PBE-GGA) for a geometry-optimized ErAsClO4 structure.

a b c (Å): 6.427 6.427 6.769
angles (deg): 100.83 100.83 61.86
Atoms (fractional coordinates):
1 Er 0.209 0.209 0.346
2 Er 0.791 0.791 0.654
3 As 0.147 0.147 0.781
4 As 0.853 0.853 0.219
5 Cl 0.474 0.474 0.632
6 Cl 0.526 0.526 0.368
7 O 0.002 0.390 0.643
8 O 0.011 0.011 0.252
9 O 0.221 0.221 0.027
10 O 0.390 0.002 0.643
11 O 0.610 0.998 0.357
12 O 0.779 0.779 0.973
13 O 0.989 0.989 0.748
14 O 0.998 0.610 0.357

## Properties
final energy	-6.33	eV/atom
energy relative to the elements, uncorrected	-13.5	eV/f.u.
crystal system	monoclinic

Density functional theory data (PBE-GGA) for a geometry-optimized Eu2AsCl structure.

a b c (Å): 5.294 5.294 3.668
angles (deg): 90.00 90.00 90.00
Atoms (fractional coordinates):
1 Eu 0.000 0.500 0.000
2 Eu 0.500 0.000 0.000
3 As 0.000 0.000 0.500
4 Cl 0.500 0.500 0.500

## Properties
final energy	-8.16	eV/atom
energy relative to the elements, uncorrected	-5.6	eV/f.u.
crystal system	tetragonal

Density functional theory data (PBE-GGA) for a geometry-optimized Eu2AsCl structure.

a b c (Å): 5.265 5.265 5.265
angles (deg): 60.00 60.00 60.00
Atoms (fractional coordinates):
1 Eu 0.250 0.250 0.250
2 Eu 0.750 0.750 0.750
3 As 0.000 0.000 0.000
4 Cl 0.500 0.500 0.500

## Properties
final energy	-8.24	eV/atom
energy relative to the elements, uncorrected	-5.9	eV/f.u.
crystal system	cubic

Density functional theory data (PBE-GGA) for a geometry-optimized LaEuAsCl structure.

a b c (Å): 5.225 5.225 5.225
angles (deg): 60.00 60.00 60.00
Atoms (fractional coordinates):
1 La 0.000 0.000 0.000
2 Eu 0.500 0.500 0.500
3 As 0.250 0.250 0.250
4 Cl 0.750 0.750 0.750

## Properties
final energy	-6.88	eV/atom
energy relative to the elements, uncorrected	-5.8	eV/f.u.
crystal system	cubic